## Ce2Ga3Ni12Pd (PBE)

Data for crystalline Ce2Ga3Ni12Pd at its relaxed geometry.

Results
- energy of formation (meV per atom) = -148.5

abc: 6.357 6.357 6.357
angles: 83.28 83.28 83.28
Sites, in units of the cell vectors:
Ce  0.155  0.155  0.155
Ce  0.845  0.845  0.845
Ga  0.000  0.500  0.500
Ga  0.500  0.000  0.500
Ga  0.500  0.500  0.000
Ni  0.107  0.107  0.604
Ni  0.107  0.604  0.107
Ni  0.195  0.702  0.702
Ni  0.298  0.298  0.805
Ni  0.298  0.805  0.298
Ni  0.396  0.893  0.893
Ni  0.604  0.107  0.107
Ni  0.702  0.195  0.702
Ni  0.702  0.702  0.195
Ni  0.805  0.298  0.298
Ni  0.893  0.396  0.893
Ni  0.893  0.893  0.396
Pd  0.500  0.500  0.500

=====

## CeGaNiPd (PBE)

Data for crystalline CeGaNiPd at its relaxed geometry.

Results
- energy of formation (meV per atom) = -489.7

abc: 4.664 4.664 4.664
angles: 60.00 60.00 60.00
Sites, in units of the cell vectors:
Ce  0.000  0.000  0.000
Ga  0.500  0.500  0.500
Ni  0.750  0.750  0.750
Pd  0.250  0.250  0.250

=====

## Ce2Ga3Ni4Pd (PBE)

Data for crystalline Ce2Ga3Ni4Pd at its relaxed geometry.

Results
- energy of formation (meV per atom) = -526.1

abc: 3.829 3.829 11.366
angles: 90.00 90.00 90.00
Sites, in units of the cell vectors:
Ce  0.000  0.500  0.238
Ce  0.500  0.000  0.762
Ga  0.000  0.000  0.000
Ga  0.000  0.500  0.626
Ga  0.500  0.000  0.374
Ni  0.000  0.000  0.500
Ni  0.000  0.500  0.840
Ni  0.500  0.000  0.160
Ni  0.500  0.500  0.500
Pd  0.500  0.500  0.000

=====

## CePmGaNi (PBE)

Data for crystalline CePmGaNi at its relaxed geometry.

Results
- energy of formation (meV per atom) = -298.2

abc: 5.052 5.052 5.052
angles: 60.00 60.00 60.00
Sites, in units of the cell vectors:
Ce  0.000  0.000  0.000
Pm  0.500  0.500  0.500
Ga  0.250  0.250  0.250
Ni  0.750  0.750  0.750

=====

## CeGa4NiPt2 (PBE)

Data for crystalline CeGa4NiPt2 at its relaxed geometry.

Results
- energy of formation (meV per atom) = -632.0

abc: 9.006 9.006 9.006
angles: 27.49 27.49 27.49
Sites, in units of the cell vectors:
Ce  0.000  0.000  0.000
Ga  0.134  0.134  0.134
Ga  0.401  0.401  0.401
Ga  0.599  0.599  0.599
Ga  0.866  0.866  0.866
Ni  0.500  0.500  0.500
Pt  0.237  0.237  0.237
Pt  0.763  0.763  0.763

=====

## Ce2GaNi2Pt5 (PBE)

Data for crystalline Ce2GaNi2Pt5 at its relaxed geometry.

Results
- energy of formation (meV per atom) = -838.8

abc: 9.265 9.265 3.969
angles: 90.00 90.00 90.00
Sites, in units of the cell vectors:
Ce  0.175  0.325  0.000
Ce  0.325  0.825  0.000
Ce  0.675  0.175  0.000
Ce  0.825  0.675  0.000
Ga  0.000  0.000  0.000
Ga  0.500  0.500  0.000
Ni  0.125  0.625  0.000
Ni  0.375  0.125  0.000
Ni  0.625  0.875  0.000
Ni  0.875  0.375  0.000
Pt  0.000  0.500  0.500
Pt  0.068  0.795  0.500
Pt  0.205  0.068  0.500
Pt  0.295  0.568  0.500
Pt  0.432  0.295  0.500
Pt  0.500  0.000  0.500
Pt  0.568  0.705  0.500
Pt  0.705  0.432  0.500
Pt  0.795  0.932  0.500
Pt  0.932  0.205  0.500

=====

Question: What is the formula in the fifth record?
Answer: CeGa4NiPt2

=====

Question: Which of these has the lowest energy of formation?
Answer: Ce2GaNi2Pt5

=====

Question: energy of formation of number 4 (CePmGaNi)?
Answer: -298.2 meV per atom